# DyTcBC, optimized geometry, DFT PBE
data_DyTcBC
_chemical_formula_sum 'Dy2 Tc2 B2 C2'
_space_group_name_H-M_alt 'P 4/n m m'
_space_group_IT_number 129
_cell_length_a 3.6115
_cell_length_b 3.6115
_cell_length_c 8.2726
_cell_angle_alpha 90.00
_cell_angle_beta 90.00
_cell_angle_gamma 90.00
loop_
_space_group_symop_operation_xyz
'x,y,z'
'-x,-y,-z'
'-y+1/2,x,z'
'y+1/2,-x,-z'
'-x+1/2,-y+1/2,z'
'x+1/2,y+1/2,-z'
'y,-x+1/2,z'
'-y,x+1/2,-z'
'x+1/2,-y,-z'
'-x+1/2,y,z'
'-y,-x,-z'
'y,x,z'
'-x,y+1/2,-z'
'x,-y+1/2,z'
'y+1/2,x+1/2,-z'
'-y+1/2,-x+1/2,z'
loop_
_atom_site_label
_atom_site_type_symbol
_atom_site_fract_x
_atom_site_fract_y
_atom_site_fract_z
Dy1 Dy 0.2500 0.2500 0.1558
Tc1 Tc 0.2500 0.7500 0.5000
B1 B 0.2500 0.2500 0.6848
C1 C 0.2500 0.2500 0.8642
# electronic total energy: -64.208 eV for the cell shown
# DFT formation energy: -0.31 eV/atom